PuCuSnAu | PBE | relaxed

Unit cell a=4.9385 b=4.9385 c=4.9385 alpha=60.00 beta=60.00 gamma=60.00
Closest atoms and distances in Å follow each position.
Sites, in units of the cell vectors:
1 Pu 0.0000 0.0000 0.0000  4 Sn 3.02, 4 Au 3.02
2 Cu 0.5000 0.5000 0.5000  4 Sn 3.02, 4 Au 3.02
3 Sn 0.2500 0.2500 0.2500  4 Cu 3.02, 4 Pu 3.02
4 Au 0.7500 0.7500 0.7500  4 Cu 3.02, 4 Pu 3.02

Values from the calculation:
**Total magnetization**: 5.5 Bohr magnetons per cell
**Uncorrected energy**: -0.480 Ry per atom